Material: MoIrRh2Pb
Method: DFT, GGA-PBE
State: relaxed Values from VASP.

Quantum ESPRESSO input file:
```
&SYSTEM
  ibrav = 0, nat = 5, ntyp = 4
/
ATOMIC_SPECIES
Mo 95.94 Mo.upf
Ir 192.22 Ir.upf
Rh 102.91 Rh.upf
Pb 207.20 Pb.upf
CELL_PARAMETERS angstrom
4.828 0.000 0.000
0.000 4.828 0.000
0.000 0.000 4.692
ATOMIC_POSITIONS angstrom
Mo 0.000 0.000 0.000
Ir 0.000 0.000 2.346
Rh 0.000 2.414 2.346
Rh 2.414 0.000 2.346
Pb 2.414 2.414 0.000
```

Space group: P4/mmm, No. 123
Raw total energy, eV per atom: -6.459

***

Material: MgAg2Pt2
Method: DFT, GGA-PBE
State: relaxed Values from VASP.

Quantum ESPRESSO input file:
```
&SYSTEM
  ibrav = 0, nat = 10, ntyp = 3
/
ATOMIC_SPECIES
Mg 24.30 Mg.upf
Ag 107.87 Ag.upf
Pt 195.08 Pt.upf
CELL_PARAMETERS angstrom
6.695 0.000 0.000
0.000 6.695 0.000
0.000 0.000 4.080
ATOMIC_POSITIONS angstrom
Mg 0.000 0.000 0.000
Mg 3.348 3.348 0.000
Ag 1.099 2.248 2.040
Ag 2.248 5.596 2.040
Ag 4.447 1.099 2.040
Ag 5.596 4.447 2.040
Pt 0.921 4.268 0.000
Pt 2.427 0.921 0.000
Pt 4.268 5.774 0.000
Pt 5.774 2.427 0.000
```

Excess energy over the best structure of this formula in the dataset, meV/atom: 0
Space group: P4/mbm, No. 127
Raw total energy, eV per atom: -4.030

***

Among the records above, which one has the highest raw total energy?
MgAg2Pt2

***

Copy entry 1 word for word.
Material: MoIrRh2Pb
Method: DFT, GGA-PBE
State: relaxed Values from VASP.

Quantum ESPRESSO input file:
```
&SYSTEM
  ibrav = 0, nat = 5, ntyp = 4
/
ATOMIC_SPECIES
Mo 95.94 Mo.upf
Ir 192.22 Ir.upf
Rh 102.91 Rh.upf
Pb 207.20 Pb.upf
CELL_PARAMETERS angstrom
4.828 0.000 0.000
0.000 4.828 0.000
0.000 0.000 4.692
ATOMIC_POSITIONS angstrom
Mo 0.000 0.000 0.000
Ir 0.000 0.000 2.346
Rh 0.000 2.414 2.346
Rh 2.414 0.000 2.346
Pb 2.414 2.414 0.000
```

Space group: P4/mmm, No. 123
Raw total energy, eV per atom: -6.459